Record 1
The following is a PBE calculation of a geometry-optimized Y2ZrPb structure, from Alexandria via LeMat-Bulk.

a = 4.3974 Å, b = 3.5419 Å, c = 7.9272 Å
α = 63.60°, β = 90.00°, γ = 90.00°
Last column: nearest neighbours and their distance in Å.
Fractional coordinates of all 4 atoms:
Pb1 0.5000 0.7500 0.7500  8 Y 3.34, 2 Pb 3.54, 2 Zr 3.55
Y1 0.0000 0.9983 0.0016  4 Zr 3.33, 4 Pb 3.34, 4 Y 3.53-3.57
Y2 0.0000 0.5017 0.4984  4 Zr 3.33, 4 Pb 3.34, 4 Y 3.53-3.57
Zr1 0.5000 0.2500 0.2500  8 Y 3.33, 2 Zr 3.54, 2 Pb 3.55

Calculated values
* space-group type: P2/m

Record 2
The following is a PBE calculation of a geometry-optimized YZr2Pb structure, from Alexandria via LeMat-Bulk.

a = 10.7603 Å, b = 10.7603 Å, c = 10.7603 Å
α = 17.98°, β = 17.98°, γ = 17.98°
Last column: nearest neighbours and their distance in Å.
Fractional coordinates of all 4 atoms:
Pb1 0.2500 0.2500 0.2500  6 Zr 3.21, 6 Pb 3.36
Y1 0.7500 0.7500 0.7500  6 Zr 3.35, 6 Y 3.36
Zr1 0.9973 0.9973 0.9973  3 Pb 3.21, 3 Y 3.35, 6 Zr 3.36
Zr2 0.5027 0.5027 0.5027  3 Pb 3.21, 3 Y 3.35, 6 Zr 3.36

Calculated values
* space-group type: R-3m

Record 3
The following is a PBE calculation of a geometry-optimized YZr2Pb structure, from Alexandria via LeMat-Bulk.

a = 5.8539 Å, b = 5.8539 Å, c = 5.8539 Å
α = 134.78°, β = 134.76°, γ = 65.89°
Last column: nearest neighbours and their distance in Å.
Fractional coordinates of all 4 atoms:
Pb1 0.5000 0.5000 0.0000  8 Zr 3.18-3.33, 4 Y 3.33
Y1 0.7499 0.2499 0.5000  8 Zr 3.18-3.33, 4 Pb 3.33
Zr1 0.9999 0.9999 0.0000  4 Pb 3.18, 4 Zr 3.33, 4 Y 3.33
Zr2 0.2502 0.7502 0.5000  4 Y 3.18, 4 Zr 3.33, 4 Pb 3.33

Calculated values
* space-group type: I-4m2

Record 4
The following is a PBE calculation of a geometry-optimized YZr2Pb structure, from Alexandria via LeMat-Bulk.

a = 5.1946 Å, b = 5.1946 Å, c = 5.1946 Å
α = 60.00°, β = 60.00°, γ = 60.00°
Last column: nearest neighbours and their distance in Å.
Fractional coordinates of all 4 atoms:
Pb1 0.5000 0.5000 0.5000  4 Y 3.18, 4 Zr 3.18
Y1 0.7500 0.7500 0.7500  4 Zr 3.18, 4 Pb 3.18
Zr1 0.0000 0.0000 0.0000  4 Zr 3.18, 4 Y 3.18
Zr2 0.2500 0.2500 0.2500  4 Pb 3.18, 4 Zr 3.18

Calculated values
* space-group type: F-43m

Record 5
The following is a PBE calculation of a geometry-optimized YZr2Pb structure, from Alexandria via LeMat-Bulk.

a = 3.8943 Å, b = 3.8943 Å, c = 6.6727 Å
α = 90.00°, β = 90.00°, γ = 90.00°
Last column: nearest neighbours and their distance in Å.
Fractional coordinates of all 4 atoms:
Pb1 0.5000 0.5000 0.2500  8 Zr 3.14, 2 Y 3.34
Y1 0.5000 0.5000 0.7500  8 Zr 3.30, 2 Pb 3.34
Zr1 0.0000 0.0000 0.0235  1 Zr 3.02, 4 Pb 3.14, 4 Y 3.30
Zr2 0.0000 0.0000 0.4765  1 Zr 3.02, 4 Pb 3.14, 4 Y 3.30

Calculated values
* space-group type: P4/mmm

Record 6
The following is a PBE calculation of a geometry-optimized YZrPb3 structure, from Alexandria via LeMat-Bulk.

a = 5.5941 Å, b = 5.5941 Å, c = 5.5941 Å
α = 90.00°, β = 90.00°, γ = 90.00°
Last column: nearest neighbours and their distance in Å.
Fractional coordinates of all 5 atoms:
Pb1 0.0000 0.5000 0.0000  2 Zr 2.80
Pb2 0.0000 0.0000 0.5000  2 Zr 2.80
Pb3 0.5000 0.0000 0.0000  2 Zr 2.80
Y1 0.5000 0.5000 0.5000  12 Pb 3.96
Zr1 0.0000 0.0000 0.0000  6 Pb 2.80

Calculated values
* space-group type: Pm-3m
* ΔE to the lowest computed polymorph: 0.00 eV per formula unit

Record 7
The following is a PBE calculation of a geometry-optimized YZr2Pb structure, from Alexandria via LeMat-Bulk.

a = 4.6911 Å, b = 4.5885 Å, c = 4.5885 Å
α = 90.00°, β = 90.00°, γ = 90.00°
Last column: nearest neighbours and their distance in Å.
Fractional coordinates of all 4 atoms:
Pb1 0.5000 0.5000 0.0000  4 Y 3.24, 8 Zr 3.28
Y1 0.5000 0.0000 0.5000  4 Pb 3.24, 8 Zr 3.28
Zr1 0.0000 0.0000 0.0000  4 Zr 3.24, 4 Pb 3.28, 4 Y 3.28
Zr2 0.0000 0.5000 0.5000  4 Zr 3.24, 4 Pb 3.28, 4 Y 3.28

Calculated values
* space-group type: P4/mmm

Record 8
The following is a PBE calculation of a geometry-optimized Y3ZrPb structure, from Alexandria via LeMat-Bulk.

a = 5.7223 Å, b = 5.7223 Å, c = 5.7223 Å
α = 90.00°, β = 90.00°, γ = 90.00°
Last column: nearest neighbours and their distance in Å.
Fractional coordinates of all 5 atoms:
Pb1 0.0000 0.0000 0.0000  6 Y 2.86
Y1 0.0000 0.5000 0.0000  2 Pb 2.86
Y2 0.0000 0.0000 0.5000  2 Pb 2.86
Y3 0.5000 0.0000 0.0000  2 Pb 2.86
Zr1 0.5000 0.5000 0.5000  12 Y 4.05

Calculated values
* space-group type: Pm-3m
* ΔE to the lowest computed polymorph: 0.55 eV per formula unit

Record 9
The following is a PBE calculation of a geometry-optimized Y3ZrPb structure, from Alexandria via LeMat-Bulk.

a = 5.5215 Å, b = 5.5215 Å, c = 5.5215 Å
α = 90.00°, β = 90.00°, γ = 90.00°
Last column: nearest neighbours and their distance in Å.
Fractional coordinates of all 5 atoms:
Pb1 0.5000 0.5000 0.5000  12 Y 3.90
Y1 0.0000 0.5000 0.0000  2 Zr 2.76
Y2 0.0000 0.0000 0.5000  2 Zr 2.76
Y3 0.5000 0.0000 0.0000  2 Zr 2.76
Zr1 0.0000 0.0000 0.0000  6 Y 2.76

Calculated values
* space-group type: Pm-3m
* ΔE to the lowest computed polymorph: 0.00 eV per formula unit

Record 10
The following is a PBE calculation of a geometry-optimized Y2ZrPb structure, from Alexandria via LeMat-Bulk.

a = 4.7820 Å, b = 4.7839 Å, c = 4.6637 Å
α = 90.00°, β = 90.00°, γ = 90.00°
Last column: nearest neighbours and their distance in Å.
Fractional coordinates of all 4 atoms:
Pb1 0.0000 0.5000 0.5000  8 Y 3.34, 4 Zr 3.38
Y1 0.0000 0.0000 0.0000  4 Zr 3.34, 4 Pb 3.34, 4 Y 3.38
Y2 0.5000 0.5000 0.0000  4 Pb 3.34, 4 Zr 3.34, 4 Y 3.38
Zr1 0.5000 0.0000 0.5000  8 Y 3.34, 4 Pb 3.38

Calculated values
* space-group type: P4/mmm

Record 11
The following is a PBE calculation of a geometry-optimized Y2ZrPb structure, from Alexandria via LeMat-Bulk.

a = 6.3883 Å, b = 6.3883 Å, c = 5.7468 Å
α = 65.54°, β = 65.54°, γ = 31.37°
Last column: nearest neighbours and their distance in Å.
Fractional coordinates of all 4 atoms:
Pb1 0.2403 0.2403 0.1761  2 Zr 3.20, 7 Y 3.26-3.46, 2 Pb 3.45
Y1 0.9857 0.9857 0.0833  3 Pb 3.32-3.40, 4 Zr 3.34-3.40, 5 Y 3.36-3.60
Y2 0.7587 0.7587 0.6790  4 Pb 3.26-3.46, 3 Zr 3.34-3.40, 5 Y 3.36-3.60
Zr1 0.5154 0.5154 0.5616  2 Pb 3.20, 7 Y 3.34-3.40, 2 Zr 3.45

Calculated values
* space-group type: Cm

Record 12
The following is a PBE calculation of a geometry-optimized Y2ZrPb structure, from Alexandria via LeMat-Bulk.

a = 3.4173 Å, b = 3.4173 Å, c = 9.5810 Å
α = 90.00°, β = 90.00°, γ = 89.99°
Last column: nearest neighbours and their distance in Å.
Fractional coordinates of all 4 atoms:
Pb1 0.5000 0.5000 0.7500  4 Pb 3.42, 8 Y 3.42
Y1 0.0000 0.0000 0.0028  4 Zr 3.38, 4 Y 3.42, 4 Pb 3.42
Y2 0.0000 0.0000 0.4972  4 Zr 3.38, 4 Y 3.42, 4 Pb 3.42
Zr1 0.5000 0.5000 0.2500  8 Y 3.38, 4 Zr 3.42

Calculated values
* space-group type: P4/mmm

Record 13
The following is a PBE calculation of a geometry-optimized YZr2Pb structure, from Alexandria via LeMat-Bulk.

a = 3.2886 Å, b = 3.2886 Å, c = 9.5521 Å
α = 90.00°, β = 90.00°, γ = 90.00°
Last column: nearest neighbours and their distance in Å.
Fractional coordinates of all 4 atoms:
Pb1 0.5000 0.5000 0.2500  8 Zr 3.28, 4 Pb 3.29
Y1 0.5000 0.5000 0.7500  4 Y 3.29, 8 Zr 3.39
Zr1 0.0000 0.0000 0.0075  4 Pb 3.28, 4 Zr 3.29, 4 Y 3.39
Zr2 0.0000 0.0000 0.4925  4 Pb 3.28, 4 Zr 3.29, 4 Y 3.39

Calculated values
* space-group type: P4/mmm

Record 14
The following is a PBE calculation of a geometry-optimized YZr2Pb structure, from Alexandria via LeMat-Bulk.

a = 5.7038 Å, b = 5.7038 Å, c = 3.3212 Å
α = 90.00°, β = 90.00°, γ = 111.15°
Last column: nearest neighbours and their distance in Å.
Fractional coordinates of all 4 atoms:
Pb1 0.5000 0.0000 0.5000  2 Y 3.22, 8 Zr 3.30, 2 Pb 3.32
Y1 0.0000 0.5000 0.5000  2 Pb 3.22, 8 Zr 3.30, 2 Y 3.32
Zr1 0.0000 0.0000 0.0000  4 Zr 3.22-3.32, 4 Pb 3.30, 4 Y 3.30
Zr2 0.5000 0.5000 0.0000  4 Zr 3.22-3.32, 4 Y 3.30, 4 Pb 3.30

Calculated values
* space-group type: Cmmm

Record 15
The following is a PBE calculation of a geometry-optimized Y2ZrPb structure, from Alexandria via LeMat-Bulk.

a = 8.5733 Å, b = 8.5733 Å, c = 6.8355 Å
α = 51.16°, β = 51.16°, γ = 90.00°
Last column: nearest neighbours and their distance in Å.
Fractional coordinates of all 8 atoms:
Pb1 0.0000 0.0000 0.0000  4 Y 3.07, 2 Zr 3.16
Pb2 0.7500 0.2500 0.5000  4 Y 3.07, 2 Zr 3.16
Y1 0.6353 0.1250 0.2500  2 Pb 3.07, 2 Y 3.16, 2 Zr 3.19
Y2 0.1147 0.6250 0.2500  2 Pb 3.07, 2 Y 3.16, 2 Zr 3.19
Y3 0.3750 0.3647 0.7500  2 Pb 3.07, 2 Y 3.16, 2 Zr 3.19
Y4 0.8750 0.8853 0.7500  2 Pb 3.07, 2 Y 3.16, 2 Zr 3.19
Zr1 0.5000 0.5000 0.0000  2 Pb 3.16, 4 Y 3.19
Zr2 0.2500 0.7500 0.5000  2 Pb 3.16, 4 Y 3.19

Calculated values
* space-group type: I-42d

Record 16
The following is a PBE calculation of a geometry-optimized Y2Zr2Pb structure, from Alexandria via LeMat-Bulk.

a = 7.7820 Å, b = 7.7820 Å, c = 4.5404 Å
α = 90.00°, β = 90.00°, γ = 90.00°
Last column: nearest neighbours and their distance in Å.
Fractional coordinates of all 10 atoms:
Pb1 0.0000 0.0000 0.0000  4 Zr 3.02
Pb2 0.5000 0.5000 0.0000  4 Zr 3.02
Y1 0.1626 0.6626 0.5000  6 Zr 3.17-3.26
Y2 0.6626 0.8374 0.5000  6 Zr 3.17-3.26
Y3 0.8374 0.3374 0.5000  6 Zr 3.17-3.26
Y4 0.3374 0.1626 0.5000  6 Zr 3.17-3.26
Zr1 0.3639 0.8639 0.0000  1 Zr 2.99, 2 Pb 3.02, 6 Y 3.17-3.26
Zr2 0.8639 0.6361 0.0000  1 Zr 2.99, 2 Pb 3.02, 6 Y 3.17-3.26
Zr3 0.6361 0.1361 0.0000  1 Zr 2.99, 2 Pb 3.02, 6 Y 3.17-3.26
Zr4 0.1361 0.3639 0.0000  1 Zr 2.99, 2 Pb 3.02, 6 Y 3.17-3.26

Calculated values
* space-group type: P4/mbm

Record 17
The following is a PBE calculation of a geometry-optimized YZr2Pb structure, from Alexandria via LeMat-Bulk.

a = 3.3064 Å, b = 3.3064 Å, c = 9.4625 Å
α = 90.00°, β = 90.00°, γ = 89.88°
Last column: nearest neighbours and their distance in Å.
Fractional coordinates of all 4 atoms:
Pb1 0.0000 0.0000 0.4888  4 Zr 3.30, 4 Pb 3.31, 4 Y 3.43
Y1 0.5000 0.5000 0.7540  4 Y 3.31, 4 Zr 3.39-3.40, 4 Pb 3.43
Zr1 0.0000 0.0000 0.0143  8 Zr 3.18-3.31, 4 Y 3.39-3.40
Zr2 0.5000 0.5000 0.2430  8 Zr 3.18-3.31, 4 Pb 3.30

Calculated values
* space-group type: Cmm2

Record 18
The following is a PBE calculation of a geometry-optimized Y2ZrPb structure, from Alexandria via LeMat-Bulk.

a = 5.2019 Å, b = 3.5367 Å, c = 6.3502 Å
α = 73.91°, β = 90.00°, γ = 90.00°
Last column: nearest neighbours and their distance in Å.
Fractional coordinates of all 4 atoms:
Pb1 0.5000 0.5553 0.7661  2 Zr 3.11, 7 Y 3.26-3.35
Y1 0.0000 0.9641 0.9478  3 Zr 3.29-3.32, 4 Pb 3.33-3.34, 2 Y 3.54
Y2 0.5000 0.2869 0.2996  3 Pb 3.26-3.35, 4 Zr 3.35, 2 Y 3.54
Zr1 0.0000 0.6937 0.4866  2 Pb 3.11, 7 Y 3.29-3.35

Calculated values
* space-group type: Pm

Record 19
The following is a PBE calculation of a geometry-optimized Y2ZrPb structure, from Alexandria via LeMat-Bulk.

a = 10.9543 Å, b = 10.9543 Å, c = 10.9543 Å
α = 18.33°, β = 18.33°, γ = 18.33°
Last column: nearest neighbours and their distance in Å.
Fractional coordinates of all 4 atoms:
Pb1 0.7535 0.7535 0.7535  3 Zr 3.21, 3 Y 3.35, 6 Pb 3.49
Y1 0.0038 0.0038 0.0038  3 Pb 3.35, 9 Y 3.49-3.59
Y2 0.2451 0.2451 0.2451  3 Zr 3.30, 9 Y 3.49-3.59
Zr1 0.4976 0.4976 0.4976  3 Pb 3.21, 3 Y 3.30, 6 Zr 3.49

Calculated values
* space-group type: R3m

Record 20
The following is a PBE calculation of a geometry-optimized YZr2Pb structure, from Alexandria via LeMat-Bulk.

a = 3.5536 Å, b = 4.0777 Å, c = 7.0486 Å
α = 90.00°, β = 90.00°, γ = 90.00°
Last column: nearest neighbours and their distance in Å.
Fractional coordinates of all 4 atoms:
Pb1 0.0000 0.0000 0.4817  5 Zr 3.17-3.24, 4 Y 3.29
Y1 0.5000 0.5000 0.7481  4 Pb 3.29, 6 Zr 3.32-3.52, 2 Y 3.55
Zr1 0.0000 0.0000 0.0220  4 Zr 3.14, 1 Pb 3.24, 4 Y 3.32
Zr2 0.5000 0.5000 0.2482  4 Zr 3.14, 4 Pb 3.17

Calculated values
* space-group type: Pmm2

no.,total moment (μB/atom),DFT total energy (eV per atom),formation energy (meV per atom)
1,0.17,-6.46,-168
2,0.00,-6.77,52
3,0.00,-6.93,-113
4,0.25,-6.83,-12
5,0.00,-6.85,-28
6,0.00,-4.93,297
7,0.00,-6.95,-133
8,0.83,-5.69,642
9,0.00,-5.80,532
10,0.00,-6.47,-175
11,0.00,-6.45,-149
12,0.00,-6.47,-169
13,0.00,-6.77,46
14,0.00,-6.83,-10
15,0.00,-6.05,242
16,0.00,-6.78,-38
17,0.00,-6.91,-92
18,0.00,-6.47,-170
19,0.13,-6.33,-34
20,0.21,-6.94,-125